# 1
Compound: Ni3Mo2W4N3
Source: OQMD via LeMat-Bulk
Functional: PBE
Structure: optimized geometry

The structure in CIF format:
```
data_Ni3Mo2W4N3
_cell_length_a 8.5519
_cell_length_b 4.9759
_cell_length_c 14.2343
_cell_angle_alpha 90.00
_cell_angle_beta 102.69
_cell_angle_gamma 90.00
_space_group_name_H-M_alt 'C 1 2/c 1'
_space_group_IT_number 15
_space_group_name_Hall '-C 2yc'
loop_
_atom_site_label
_atom_site_type_symbol
_atom_site_fract_x
_atom_site_fract_y
_atom_site_fract_z
_atom_site_occupancy
Ni1 Ni 0.0000 0.0880 0.2500 1
Ni2 Ni 0.2488 0.1676 0.7507 1
Mo1 Mo 0.0321 0.4149 0.8361 1
W1 W 0.1106 0.0853 0.0891 1
W2 W 0.2251 0.0825 0.4115 1
N1 N 0.0809 0.2578 0.4982 1
N2 N 0.2500 0.2500 0.0000 1
```

## Properties
Calculated total energy = -9.62 eV per atom
Density = 12.87 g/cm³
Size of the total moment = 0.4 μB per formula unit

---

# 2
Compound: Li3H6W
Source: OQMD via LeMat-Bulk
Functional: PBE
Structure: optimized geometry

The structure in CIF format:
```
data_Li3H6W
_cell_length_a 7.1114
_cell_length_b 7.1114
_cell_length_c 7.1114
_cell_angle_alpha 90.00
_cell_angle_beta 90.00
_cell_angle_gamma 90.00
_space_group_name_H-M_alt 'F m -3 m'
_space_group_IT_number 225
_space_group_name_Hall '-F 4 2 3'
loop_
_atom_site_label
_atom_site_type_symbol
_atom_site_fract_x
_atom_site_fract_y
_atom_site_fract_z
_atom_site_occupancy
Li1 Li 0.0000 0.0000 0.0000 1
Li2 Li 0.2500 0.2500 0.2500 1
H1 H 0.0000 0.0000 0.2477 1
W1 W 0.0000 0.0000 0.5000 1
```

## Properties
Calculated total energy = -3.88 eV per atom
Density = 3.89 g/cm³
Size of the total moment = 3.0 μB per formula unit

---

# 3
Compound: Na4Si2PtAu
Source: OQMD via LeMat-Bulk
Functional: PBE
Structure: optimized geometry

The structure in CIF format:
```
data_Na4Si2PtAu
_cell_length_a 4.6237
_cell_length_b 4.6237
_cell_length_c 6.5854
_cell_angle_alpha 90.00
_cell_angle_beta 90.00
_cell_angle_gamma 90.00
_space_group_name_H-M_alt 'P -4 m 2'
_space_group_IT_number 115
_space_group_name_Hall 'P -4 -2'
loop_
_atom_site_label
_atom_site_type_symbol
_atom_site_fract_x
_atom_site_fract_y
_atom_site_fract_z
_atom_site_occupancy
Na1 Na 0.0000 0.0000 0.0000 1
Na2 Na 0.0000 0.5000 0.7474 1
Na3 Na 0.5000 0.5000 0.5000 1
Si1 Si 0.0000 0.5000 0.2230 1
Pt1 Pt 0.5000 0.5000 0.0000 1
Au1 Au 0.0000 0.0000 0.5000 1
```

## Properties
Calculated total energy = -3.25 eV per atom
Density = 6.37 g/cm³
Size of the total moment = 0.0 μB per formula unit

---

# 4
Compound: CoAgIr
Source: OQMD via LeMat-Bulk
Functional: PBE
Structure: optimized geometry

The structure in CIF format:
```
data_CoAgIr
_cell_length_a 5.8164
_cell_length_b 5.8164
_cell_length_c 5.8164
_cell_angle_alpha 90.00
_cell_angle_beta 90.00
_cell_angle_gamma 90.00
_space_group_name_H-M_alt 'F -4 3 m'
_space_group_IT_number 216
_space_group_name_Hall 'F -4 2 3'
loop_
_atom_site_label
_atom_site_type_symbol
_atom_site_fract_x
_atom_site_fract_y
_atom_site_fract_z
_atom_site_occupancy
Co1 Co 0.0000 0.0000 0.0000 1
Ag1 Ag 0.2500 0.2500 0.7500 1
Ir1 Ir 0.2500 0.2500 0.2500 1
```

## Properties
Energy of formation = 66.13 kJ per mole of atoms
Density = 12.12 g/cm³
Size of the total moment = 2.9 μB per formula unit

---

> Which value of size of the total moment does entry 2 give?

3.0 μB per formula unit

---

> Which of these has the lowest density?

Li3H6W

---

Copy entry 2 word for word.
Compound: Li3H6W
Source: OQMD via LeMat-Bulk
Functional: PBE
Structure: optimized geometry

The structure in CIF format:
```
data_Li3H6W
_cell_length_a 7.1114
_cell_length_b 7.1114
_cell_length_c 7.1114
_cell_angle_alpha 90.00
_cell_angle_beta 90.00
_cell_angle_gamma 90.00
_space_group_name_H-M_alt 'F m -3 m'
_space_group_IT_number 225
_space_group_name_Hall '-F 4 2 3'
loop_
_atom_site_label
_atom_site_type_symbol
_atom_site_fract_x
_atom_site_fract_y
_atom_site_fract_z
_atom_site_occupancy
Li1 Li 0.0000 0.0000 0.0000 1
Li2 Li 0.2500 0.2500 0.2500 1
H1 H 0.0000 0.0000 0.2477 1
W1 W 0.0000 0.0000 0.5000 1
```

## Properties
Calculated total energy = -3.88 eV per atom
Density = 3.89 g/cm³
Size of the total moment = 3.0 μB per formula unit